1.
Material: BeAg2Br
Method: DFT, PBE-GGA
State: optimized geometry

Values from the calculation:
* magnetic moment: 0.0 μB per cell
* density: 6.20 g/cm³
* relative energy among the computed polymorphs: 426 meV/atom
* VASP energy: -2.31 eV/atom
* density of states at the Fermi level: 0.67 states/eV/f.u.

Cell and atoms, written as CIF:
```
data_BeAg2Br
_chemical_formula_sum 'Be1 Ag2 Br1'
_symmetry_space_group_name_H-M 'P m m m'
_symmetry_Int_Tables_number 47
_cell_length_a 3.265
_cell_length_b 4.230
_cell_length_c 5.910
_cell_angle_alpha 90.00
_cell_angle_beta 90.00
_cell_angle_gamma 90.00
loop_
_symmetry_equiv_pos_as_xyz
'x,y,z'
'-x,-y,-z'
'-x,-y,z'
'x,y,-z'
'x,-y,-z'
'-x,y,z'
'-x,y,-z'
'x,-y,z'
loop_
_atom_site_label
_atom_site_type_symbol
_atom_site_fract_x
_atom_site_fract_y
_atom_site_fract_z
Be1 Be 0.000 0.000 0.000
Ag1 Ag 0.000 0.500 0.500
Ag2 Ag 0.500 0.500 0.000
Br1 Br 0.500 0.000 0.500
```

2.
Material: BeAg2Br
Method: DFT, PBE-GGA
State: optimized geometry

Values from the calculation:
* magnetic moment: 0.0 μB per cell
* density: 6.07 g/cm³
* relative energy among the computed polymorphs: 206 meV/atom
* VASP energy: -2.53 eV/atom
* density of states at the Fermi level: 1.22 states/eV/f.u.

Cell and atoms, written as CIF:
```
data_BeAg2Br
_chemical_formula_sum 'Be1 Ag2 Br1'
_symmetry_space_group_name_H-M 'P 1 2/m 1'
_symmetry_Int_Tables_number 10
_cell_length_a 3.500
_cell_length_b 3.651
_cell_length_c 6.706
_cell_angle_alpha 90.00
_cell_angle_beta 103.29
_cell_angle_gamma 90.00
loop_
_symmetry_equiv_pos_as_xyz
'x,y,z'
'-x,-y,-z'
'-x,y,-z'
'x,-y,z'
loop_
_atom_site_label
_atom_site_type_symbol
_atom_site_fract_x
_atom_site_fract_y
_atom_site_fract_z
Be1 Be 0.000 0.000 0.000
Ag1 Ag 0.354 0.500 0.172
Br1 Br 0.500 0.000 0.500
```

3.
Material: BeAgBr
Method: DFT, PBE-GGA
State: optimized geometry

Values from the calculation:
* magnetic moment: 0.0 μB per cell
* density: 4.93 g/cm³
* relative energy among the computed polymorphs: 93 meV/atom
* VASP energy: -2.63 eV/atom
* density of states at the Fermi level: 0.40 states/eV/f.u.

Cell and atoms, written as CIF:
```
data_BeAgBr
_chemical_formula_sum 'Be4 Ag4 Br4'
_symmetry_space_group_name_H-M 'F m m 2'
_symmetry_Int_Tables_number 42
_symmetry_space_group_name_Hall 'F 2 -2'
_cell_length_a 3.223
_cell_length_b 6.333
_cell_length_c 12.996
_cell_angle_alpha 90.00
_cell_angle_beta 90.00
_cell_angle_gamma 90.00
loop_
_atom_site_label
_atom_site_type_symbol
_atom_site_fract_x
_atom_site_fract_y
_atom_site_fract_z
Be1 Be 0.000 0.000 0.000
Ag1 Ag 0.000 0.000 0.634
Br1 Br 0.000 0.000 0.383
```

4.
Material: BeAg2Br
Method: DFT, PBE-GGA
State: optimized geometry

Values from the calculation:
* magnetic moment: 0.0 μB per cell
* density: 6.79 g/cm³
* relative energy among the computed polymorphs: 464 meV/atom
* VASP energy: -2.27 eV/atom
* density of states at the Fermi level: 1.11 states/eV/f.u.

Cell and atoms, written as CIF:
```
data_BeAg2Br
_chemical_formula_sum 'Be2 Ag4 Br2'
_symmetry_space_group_name_H-M 'C 1 2/m 1'
_symmetry_Int_Tables_number 12
_cell_length_a 5.643
_cell_length_b 8.370
_cell_length_c 3.154
_cell_angle_alpha 90.00
_cell_angle_beta 90.19
_cell_angle_gamma 90.00
loop_
_symmetry_equiv_pos_as_xyz
'x,y,z'
'-x,-y,-z'
'-x,y,-z'
'x,-y,z'
'x+1/2,y+1/2,z'
'-x+1/2,-y+1/2,-z'
'-x+1/2,y+1/2,-z'
'x+1/2,-y+1/2,z'
loop_
_atom_site_label
_atom_site_type_symbol
_atom_site_fract_x
_atom_site_fract_y
_atom_site_fract_z
Be1 Be 0.000 0.000 0.000
Ag1 Ag 0.250 0.250 0.500
Br1 Br 0.000 0.500 0.000
```

5.
Material: BeAg2Br
Method: DFT, PBE-GGA
State: optimized geometry

Values from the calculation:
* magnetic moment: 0.0 μB per cell
* density: 6.60 g/cm³
* relative energy among the computed polymorphs: 516 meV/atom
* VASP energy: -2.22 eV/atom
* density of states at the Fermi level: 1.65 states/eV/f.u.

Cell and atoms, written as CIF:
```
data_BeAg2Br
_chemical_formula_sum 'Be2 Ag4 Br2'
_symmetry_space_group_name_H-M 'I 4/m m m'
_symmetry_Int_Tables_number 139
_symmetry_space_group_name_Hall '-I 4 2'
_cell_length_a 3.843
_cell_length_b 3.843
_cell_length_c 10.381
_cell_angle_alpha 90.00
_cell_angle_beta 90.00
_cell_angle_gamma 90.00
loop_
_atom_site_label
_atom_site_type_symbol
_atom_site_fract_x
_atom_site_fract_y
_atom_site_fract_z
Be1 Be 0.000 0.000 0.000
Ag1 Ag 0.000 0.500 0.250
Br1 Br 0.000 0.000 0.500
```

6.
Material: BeAg4Br
Method: DFT, PBE-GGA
State: optimized geometry

Values from the calculation:
* magnetic moment: 0.0 μB per cell
* density: 7.03 g/cm³
* VASP energy: -2.28 eV/atom
* density of states at the Fermi level: 4.41 states/eV/f.u.

Cell and atoms, written as CIF:
```
data_BeAg4Br
_chemical_formula_sum 'Be4 Ag16 Br4'
_symmetry_space_group_name_H-M 'F -4 3 m'
_symmetry_Int_Tables_number 216
_symmetry_space_group_name_Hall 'F -4 2 3'
_cell_length_a 7.894
_cell_length_b 7.894
_cell_length_c 7.894
_cell_angle_alpha 90.00
_cell_angle_beta 90.00
_cell_angle_gamma 90.00
loop_
_atom_site_label
_atom_site_type_symbol
_atom_site_fract_x
_atom_site_fract_y
_atom_site_fract_z
Be1 Be 0.000 0.000 0.000
Ag1 Ag 0.126 0.126 0.626
Br1 Br 0.250 0.250 0.250
```

- Look up the VASP energy of the third one.
  -2.63 eV/atom